1.
NaPr2NpS6, relaxed, DFT PBE; energy relative to the elements, uncorrected = -1.579 eV/atom; symmetry = P2_1/c
1.0
6.748 0.000 0.000
0.000 7.387 0.000
-6.053 0.000 9.916
Na Pr Np S
2 4 2 12
Direct
0.000 0.000 0.000
0.000 0.500 0.500
0.194 0.094 0.738
0.194 0.406 0.238
0.806 0.594 0.762
0.806 0.906 0.262
0.500 0.000 0.500
0.500 0.500 0.000
0.131 0.178 0.441
0.131 0.322 0.941
0.247 0.703 0.413
0.247 0.797 0.913
0.415 0.064 0.260
0.415 0.436 0.760
0.585 0.564 0.240
0.585 0.936 0.740
0.753 0.203 0.087
0.753 0.297 0.587
0.869 0.678 0.059
0.869 0.822 0.559

---

2.
Na2Pr2NpS6, relaxed, DFT PBE; energy relative to the elements, uncorrected = -1.614 eV/atom; symmetry = C2/m
1.0
3.594 -6.162 0.000
3.594 6.162 0.000
-2.335 0.000 6.698
Na Pr Np S
2 2 1 6
Direct
0.168 0.832 0.000
0.832 0.168 0.000
0.335 0.665 0.500
0.665 0.335 0.500
0.000 0.000 0.500
0.068 0.391 0.724
0.237 0.237 0.277
0.391 0.068 0.724
0.609 0.932 0.276
0.763 0.763 0.723
0.932 0.609 0.276

---

3.
Na3PrNp2S6, relaxed, DFT PBE; energy relative to the elements, uncorrected = -1.487 eV/atom; symmetry = C2/m
1.0
3.520 -6.097 0.000
3.520 6.097 0.000
-2.352 0.000 6.676
Na Pr Np S
3 1 2 6
Direct
0.000 0.000 0.000
0.334 0.666 0.000
0.666 0.334 0.000
0.500 0.500 0.500
0.167 0.833 0.500
0.833 0.167 0.500
0.079 0.423 0.271
0.233 0.233 0.731
0.423 0.079 0.271
0.577 0.921 0.729
0.767 0.767 0.269
0.921 0.577 0.729

---

| no. | uncorrected energy (eV per atom) |
| --- | --- |
| 1 | -6.44 |
| 2 | -6.15 |
| 3 | -6.44 |